[1]
Here is Sr2CaZr after structural relaxation from the Alexandria database. Energies are from PBE.

Cell: 3.7377 3.7377 11.1372 Å, 90.00 90.00 90.12°
With the nearest neighbours (Å) after each atom.
Fractional positions:
Sr  0.0000  0.0000  0.2191  4 Zr 3.59-3.60, 4 Sr 3.74
Sr  0.0000  0.0000  0.7809  4 Zr 3.59-3.60, 4 Sr 3.74
Ca  0.5000  0.5000  0.5000  4 Ca 3.74, 8 Sr 4.09-4.10
Zr  0.5000  0.5000  0.0000  8 Sr 3.59-3.60, 4 Zr 3.74

SG	No. 65
density	3.27	g cm⁻³
uncorrected energy	-0.2281	Ry/atom

[2]
Here is SrCaZr after structural relaxation from the Alexandria database. Energies are from PBE.

Cell: 3.6049 3.6049 9.1687 Å, 90.00 90.00 120.00°
With the nearest neighbours (Å) after each atom.
Fractional positions:
Sr  0.0000  0.0000  0.0000  3 Zr 3.56, 6 Sr 3.60
Ca  0.3333  0.6667  0.6116  3 Zr 3.43, 6 Ca 3.60
Zr  0.6667  0.3333  0.3144  3 Ca 3.43, 3 Sr 3.56, 6 Zr 3.60

SG	No. 156
density	3.52	g cm⁻³
uncorrected energy	-0.2691	Ry/atom

[3]
Here is SrCaZr2 after structural relaxation from the Alexandria database. Energies are from PBE.

Cell: 3.3778 3.3778 11.2928 Å, 90.00 90.00 90.00°
With the nearest neighbours (Å) after each atom.
Fractional positions:
Sr  0.0000  0.0000  0.0000  4 Sr 3.38
Ca  0.5000  0.5000  0.6970  4 Ca 3.38, 4 Zr 3.73
Zr  0.0000  0.0000  0.4434  8 Zr 3.09-3.38
Zr  0.5000  0.5000  0.2692  8 Zr 3.09-3.38

SG	No. 99
density	4.00	g cm⁻³
uncorrected energy	-0.3620	Ry/atom

How do the records compare in total magnetic moment? In the order shown, they have 0.0; 0.0; 0.0 μB/cell.
How do the records compare in energy of formation? In the order shown, they have 1.50; 1.25; 1.08 eV/f.u..
How do the records compare in density of states at the Fermi level? In the order shown, they have 1.5749; 1.3904; 0.8217 states/eV per atom.